# TbDy2Cd3Ga3

TbDy2Cd3Ga3 after structural relaxation (PBE, OQMD via LeMat-Bulk).

The structure in POSCAR format:
```
TbDy2Cd3Ga3
1.0
4.4150 0.0000 0.0000
0.0000 6.2946 3.6292
0.0000 -6.2946 3.6292
Cd Ga Dy Tb
3 3 2 1
direct
0.5000 0.0000 0.2486
0.5000 0.2486 0.0000
0.5000 0.7515 0.7515
0.0000 0.9994 0.9994
0.5000 0.6671 0.3331
0.5000 0.3331 0.6671
0.0000 0.0002 0.5746
0.0000 0.5746 0.0002
0.0000 0.4256 0.4256
```

Properties
ρ = 8.48 g cm⁻³
V = 22.413 Å³/atom
DFT total energy = -30.34 eV/f.u.
magnetic moment = 0.01 μB/f.u.